1.
Density functional theory data (GGA-PBE) for a relaxed Y2HoErSc crystal.

Structure (CIF):
```
data_Y2HoErSc
_chemical_formula_sum 'Y8 Ho4 Er4 Sc4'
_cell_length_a 6.3083
_cell_length_b 15.9442
_cell_length_c 6.3149
_cell_angle_alpha 90.00
_cell_angle_beta 90.00
_cell_angle_gamma 90.00
_symmetry_space_group_name_H-M 'C m c m'
_symmetry_Int_Tables_number 63
_symmetry_space_group_name_Hall '-C 2c 2'
loop_
_atom_site_label
_atom_site_type_symbol
_atom_site_fract_x
_atom_site_fract_y
_atom_site_fract_z
Y1 Y 0.2485 0.0000 0.0000
Ho1 Ho 0.0000 0.3398 0.2500
Er1 Er 0.0000 0.2501 0.7500
Sc1 Sc 0.0000 0.1561 0.2500
```

Values from the calculation:
**Density of states at the Fermi level**: 1.687 states/eV/atom
**Formation enthalpy at 0 K**: 0.399 eV per atom
**Magnetic moment**: 0.55 μB per cell



2.
Density functional theory data (GGA-PBE) for a relaxed CaTbCo crystal.

Structure (CIF):
```
data_CaTbCo
_chemical_formula_sum 'Ca2 Tb2 Co2'
_cell_length_a 3.4062
_cell_length_b 3.4062
_cell_length_c 12.9307
_cell_angle_alpha 90.00
_cell_angle_beta 90.00
_cell_angle_gamma 90.00
_symmetry_space_group_name_H-M 'I 4 m m'
_symmetry_Int_Tables_number 107
_symmetry_space_group_name_Hall 'I 4 -2'
loop_
_atom_site_label
_atom_site_type_symbol
_atom_site_fract_x
_atom_site_fract_y
_atom_site_fract_z
Ca1 Ca 0.0000 0.0000 0.0000
Tb1 Tb 0.0000 0.0000 0.2534
Co1 Co 0.0000 0.0000 0.6431
```

Values from the calculation:
**Density of states at the Fermi level**: 0.542 states/eV/atom
**Formation enthalpy at 0 K**: 0.031 eV per atom
**Magnetic moment**: 0.55 μB per cell
**E above lowest polymorph**: 131 meV/atom



3.
Density functional theory data (GGA-PBE) for a relaxed MgZr2Zn crystal.

Structure (CIF):
```
data_MgZr2Zn
_chemical_formula_sum 'Mg2 Zr4 Zn2'
_cell_length_a 3.6927
_cell_length_b 4.4915
_cell_length_c 9.8861
_cell_angle_alpha 90.00
_cell_angle_beta 90.00
_cell_angle_gamma 90.00
_symmetry_space_group_name_H-M 'I m m m'
_symmetry_Int_Tables_number 71
_symmetry_space_group_name_Hall '-I 2 2'
loop_
_atom_site_label
_atom_site_type_symbol
_atom_site_fract_x
_atom_site_fract_y
_atom_site_fract_z
Mg1 Mg 0.0000 0.0000 0.0000
Zr1 Zr 0.0000 0.5000 0.2268
Zn1 Zn 0.0000 0.0000 0.5000
```

Values from the calculation:
**Density of states at the Fermi level**: 0.743 states/eV/atom
**Formation enthalpy at 0 K**: -0.030 eV per atom
**Magnetic moment**: 0.00 μB per cell
**E above lowest polymorph**: 83 meV/atom



4.
Density functional theory data (GGA-PBE) for a relaxed Y2AsBr crystal.

Structure (CIF):
```
data_Y2AsBr
_chemical_formula_sum 'Y2 As1 Br1'
_cell_length_a 4.1169
_cell_length_b 4.1272
_cell_length_c 5.8030
_cell_angle_alpha 90.00
_cell_angle_beta 90.00
_cell_angle_gamma 90.00
_symmetry_space_group_name_H-M 'P m m m'
_symmetry_Int_Tables_number 47
loop_
_symmetry_equiv_pos_as_xyz
'x,y,z'
'-x,-y,-z'
'-x,-y,z'
'x,y,-z'
'x,-y,-z'
'-x,y,z'
'-x,y,-z'
'x,-y,z'
loop_
_atom_site_label
_atom_site_type_symbol
_atom_site_fract_x
_atom_site_fract_y
_atom_site_fract_z
Y1 Y 0.0000 0.0000 0.0000
Y2 Y 0.5000 0.5000 0.5000
As1 As 0.0000 0.0000 0.5000
Br1 Br 0.5000 0.5000 0.0000
```

Values from the calculation:
**Density of states at the Fermi level**: 0.508 states/eV/atom
**Energy relative to the elements, uncorrected**: -1233 meV/atom
**Magnetic moment**: 0.00 μB per cell



5.
Density functional theory data (GGA-PBE) for a relaxed KSbTe2Os crystal.

Structure (CIF):
```
data_KSbTe2Os
_chemical_formula_sum 'K1 Sb1 Te2 Os1'
_cell_length_a 5.8263
_cell_length_b 5.8263
_cell_length_c 5.7659
_cell_angle_alpha 90.00
_cell_angle_beta 90.00
_cell_angle_gamma 90.00
_symmetry_space_group_name_H-M 'P 4/m m m'
_symmetry_Int_Tables_number 123
_symmetry_space_group_name_Hall '-P 4 2'
loop_
_atom_site_label
_atom_site_type_symbol
_atom_site_fract_x
_atom_site_fract_y
_atom_site_fract_z
K1 K 0.0000 0.0000 0.0000
Sb1 Sb 0.0000 0.0000 0.5000
Te1 Te 0.0000 0.5000 0.0000
Os1 Os 0.5000 0.5000 0.5000
```

Values from the calculation:
**Density of states at the Fermi level**: 1.996 states/eV/atom
**Energy relative to the elements, uncorrected**: 2205 meV/atom
**Magnetic moment**: 3.75 μB per cell
**E above lowest polymorph**: 1954 meV/atom



6.
Density functional theory data (GGA-PBE) for a relaxed SrScInPt2 crystal.

Structure (CIF):
```
data_SrScInPt2
_chemical_formula_sum 'Sr2 Sc2 In2 Pt4'
_cell_length_a 4.3762
_cell_length_b 4.3762
_cell_length_c 12.1496
_cell_angle_alpha 90.00
_cell_angle_beta 90.00
_cell_angle_gamma 90.00
_symmetry_space_group_name_H-M 'I -4 m 2'
_symmetry_Int_Tables_number 119
_symmetry_space_group_name_Hall 'I -4 -2'
loop_
_atom_site_label
_atom_site_type_symbol
_atom_site_fract_x
_atom_site_fract_y
_atom_site_fract_z
Sr1 Sr 0.0000 0.0000 0.0000
Sc1 Sc 0.0000 0.5000 0.2500
In1 In 0.0000 0.5000 0.7500
Pt1 Pt 0.0000 0.0000 0.3900
```

Values from the calculation:
**Density of states at the Fermi level**: 0.560 states/eV/atom
**Formation enthalpy at 0 K**: -0.906 eV per atom
**Magnetic moment**: 0.00 μB per cell



7.
Density functional theory data (GGA-PBE) for a relaxed Na2Os2O7 crystal.

Structure (CIF):
```
data_Na2Os2O7
_chemical_formula_sum 'Na8 Os8 O28'
_cell_length_a 7.2741
_cell_length_b 10.1513
_cell_length_c 7.5646
_cell_angle_alpha 90.00
_cell_angle_beta 90.00
_cell_angle_gamma 90.00
_symmetry_space_group_name_H-M 'I m m a'
_symmetry_Int_Tables_number 74
_symmetry_space_group_name_Hall '-I 2b 2'
loop_
_atom_site_label
_atom_site_type_symbol
_atom_site_fract_x
_atom_site_fract_y
_atom_site_fract_z
Na1 Na 0.0000 0.0000 0.0000
Na2 Na 0.2500 0.2500 0.2500
Os1 Os 0.0000 0.0000 0.5000
Os2 Os 0.2500 0.2500 0.7500
O1 O 0.0000 0.0819 0.2851
O2 O 0.0000 0.2500 0.8227
O3 O 0.2020 0.1178 0.5735
```

Values from the calculation:
**Density of states at the Fermi level**: 0.526 states/eV/atom
**Energy relative to the elements, uncorrected**: -1252 meV/atom
**Magnetic moment**: 0.00 μB per cell
**E above lowest polymorph**: 0 meV/atom



8.
Density functional theory data (GGA-PBE) for a relaxed Pm2In3 crystal.

Structure (CIF):
```
data_Pm2In3
_chemical_formula_sum 'Pm8 In12'
_cell_length_a 6.2933
_cell_length_b 10.8481
_cell_length_c 8.3716
_cell_angle_alpha 90.00
_cell_angle_beta 90.00
_cell_angle_gamma 90.00
_symmetry_space_group_name_H-M 'C m c e'
_symmetry_Int_Tables_number 64
_symmetry_space_group_name_Hall '-C 2ac 2'
loop_
_atom_site_label
_atom_site_type_symbol
_atom_site_fract_x
_atom_site_fract_y
_atom_site_fract_z
Pm1 Pm 0.0000 0.1491 0.1021
In1 In 0.0000 0.0000 0.5000
In2 In 0.2500 0.1172 0.7500
```

Values from the calculation:
**Density of states at the Fermi level**: 1.077 states/eV/atom
**Formation enthalpy at 0 K**: -0.396 eV per atom
**Magnetic moment**: 0.00 μB per cell
**E above lowest polymorph**: 15 meV/atom



9.
Density functional theory data (GGA-PBE) for a relaxed MnTl3Pb crystal.

Structure (CIF):
```
data_MnTl3Pb
_chemical_formula_sum 'Mn1 Tl3 Pb1'
_cell_length_a 5.2463
_cell_length_b 5.2463
_cell_length_c 5.2463
_cell_angle_alpha 90.00
_cell_angle_beta 90.00
_cell_angle_gamma 90.00
_symmetry_space_group_name_H-M 'P m -3 m'
_symmetry_Int_Tables_number 221
_symmetry_space_group_name_Hall '-P 4 2 3'
loop_
_atom_site_label
_atom_site_type_symbol
_atom_site_fract_x
_atom_site_fract_y
_atom_site_fract_z
Mn1 Mn 0.0000 0.0000 0.0000
Tl1 Tl 0.0000 0.0000 0.5000
Pb1 Pb 0.5000 0.5000 0.5000
```

Values from the calculation:
**Density of states at the Fermi level**: 0.740 states/eV/atom
**Formation enthalpy at 0 K**: 0.378 eV per atom
**Magnetic moment**: 2.77 μB per cell
**E above lowest polymorph**: 0 meV/atom



10.
Density functional theory data (GGA-PBE) for a relaxed CeTeRu crystal.

Structure (CIF):
```
data_CeTeRu
_chemical_formula_sum 'Ce4 Te4 Ru4'
_cell_length_a 6.6355
_cell_length_b 6.8032
_cell_length_c 6.9663
_cell_angle_alpha 90.00
_cell_angle_beta 97.77
_cell_angle_gamma 90.00
_symmetry_space_group_name_H-M 'P 1 21 1'
_symmetry_Int_Tables_number 4
loop_
_symmetry_equiv_pos_as_xyz
'x,y,z'
'-x,y+1/2,-z'
loop_
_atom_site_label
_atom_site_type_symbol
_atom_site_fract_x
_atom_site_fract_y
_atom_site_fract_z
Ce1 Ce 0.1400 0.0000 0.0533
Ce2 Ce 0.3518 0.4894 0.3048
Te1 Te 0.2069 0.8856 0.5106
Te2 Te 0.3556 0.3524 0.8556
Ru1 Ru 0.1203 0.2524 0.3332
Ru2 Ru 0.2755 0.7521 0.9005
```

Values from the calculation:
**Density of states at the Fermi level**: 0.278 states/eV/atom
**Energy relative to the elements, uncorrected**: -683 meV/atom
**Magnetic moment**: 0.28 μB per cell
**E above lowest polymorph**: 33 meV/atom



11.
Density functional theory data (GGA-PBE) for a relaxed BeVTe crystal.

Structure (CIF):
```
data_BeVTe
_chemical_formula_sum 'Be4 V4 Te4'
_cell_length_a 3.3384
_cell_length_b 18.4723
_cell_length_c 3.4102
_cell_angle_alpha 90.00
_cell_angle_beta 90.00
_cell_angle_gamma 90.00
_symmetry_space_group_name_H-M 'C m c m'
_symmetry_Int_Tables_number 63
_symmetry_space_group_name_Hall '-C 2c 2'
loop_
_atom_site_label
_atom_site_type_symbol
_atom_site_fract_x
_atom_site_fract_y
_atom_site_fract_z
Be1 Be 0.0000 0.0278 0.2500
V1 V 0.0000 0.4348 0.2500
Te1 Te 0.0000 0.1543 0.2500
```

Values from the calculation:
**Density of states at the Fermi level**: 0.756 states/eV/atom
**Energy relative to the elements, uncorrected**: -166 meV/atom
**Magnetic moment**: 1.38 μB per cell
**E above lowest polymorph**: 0 meV/atom



12.
Density functional theory data (GGA-PBE) for a relaxed Ti2PbS crystal.

Structure (CIF):
```
data_Ti2PbS
_chemical_formula_sum 'Ti6 Pb3 S3'
_cell_length_a 3.5278
_cell_length_b 3.5278
_cell_length_c 20.8616
_cell_angle_alpha 90.00
_cell_angle_beta 90.00
_cell_angle_gamma 120.00
_symmetry_space_group_name_H-M 'R -3 m'
_symmetry_Int_Tables_number 166
_symmetry_space_group_name_Hall '-R 3 2"'
loop_
_atom_site_label
_atom_site_type_symbol
_atom_site_fract_x
_atom_site_fract_y
_atom_site_fract_z
Ti1 Ti 0.0000 0.0000 0.2248
Pb1 Pb 0.0000 0.0000 0.0000
S1 S 0.0000 0.0000 0.5000
```

Values from the calculation:
**Density of states at the Fermi level**: 0.943 states/eV/atom
**Energy relative to the elements, uncorrected**: -693 meV/atom
**Magnetic moment**: 0.00 μB per cell
**E above lowest polymorph**: 9 meV/atom